# Th3MgAu4 PBE optimized geometry
# - Energy relative to the elements: -570 meV/atom
# - Total magnetic moment: 0.0 Bohr magnetons per cell
data_Th3MgAu4
_cell_length_a 3.441
_cell_length_b 3.441
_cell_length_c 15.900
_cell_angle_alpha 90.00
_cell_angle_beta 90.00
_cell_angle_gamma 90.00
_symmetry_space_group_name_H-M 'P 4/m m m'
_symmetry_Int_Tables_number 123
_symmetry_space_group_name_Hall '-P 4 2'
loop_
_atom_site_label
_atom_site_fract_x
_atom_site_fract_y
_atom_site_fract_z
Th1 0.000 0.000 0.000
Th2 0.000 0.000 0.267
Mg1 0.000 0.000 0.500
Au1 0.500 0.500 0.135
Au2 0.500 0.500 0.401